# 1
Entry from Alexandria via LeMat-Bulk: a relaxed structure of KSrSb2 (GGA-PBEsol).

Structure (POSCAR):
```
KSrSb2
1.0
3.877 0.000 0.000
1.938 3.357 0.000
1.938 1.119 10.387
Sb Sr K
2 1 1
direct
0.754 0.754 0.739 Sb
0.246 0.246 0.261 Sb
0.500 0.500 0.500 Sr
0.000 0.000 0.000 K
```

Values from the calculation:
The volume comes out at 135.20 Å³ per cell. The total DFT energy (no corrections) comes out at -3.403 eV per atom. As for the energy relative to the lowest polymorph listed for this composition: 0.271 eV per atom. As for the formation energy (no corrections): -0.38 eV per atom. For the density of states at the Fermi level, the calculation gives 2.140 states/eV per cell.



# 2
Entry from Alexandria via LeMat-Bulk: a relaxed structure of KSrSb2 (GGA-PBEsol).

Structure (POSCAR):
```
KSrSb2
1.0
-1.464 2.896 1.031
-0.312 -2.177 5.673
5.484 2.346 1.202
Sb K Sr
2 1 1
direct
0.000 0.375 0.500 Sb
0.000 0.875 0.000 Sb
0.500 0.875 0.500 K
0.500 0.375 0.000 Sr
```

Values from the calculation:
The volume comes out at 126.05 Å³ per cell. The total DFT energy (no corrections) comes out at -3.530 eV per atom. As for the energy relative to the lowest polymorph listed for this composition: 0.143 eV per atom. As for the formation energy (no corrections): -0.51 eV per atom. For the density of states at the Fermi level, the calculation gives 2.502 states/eV per cell.



# 3
Entry from Alexandria via LeMat-Bulk: a relaxed structure of KSrSb2 (GGA-PBEsol).

Structure (POSCAR):
```
KSrSb2
1.0
5.154 0.000 0.000
2.577 4.464 0.000
2.577 1.488 8.024
Sr Sb K
1 2 1
direct
0.454 0.454 0.638 Sr
0.036 0.036 0.892 Sb
0.726 0.726 0.823 Sb
0.285 0.285 0.146 K
```

Values from the calculation:
The volume comes out at 184.60 Å³ per cell. The total DFT energy (no corrections) comes out at -3.313 eV per atom. As for the energy relative to the lowest polymorph listed for this composition: 0.360 eV per atom. As for the formation energy (no corrections): -0.29 eV per atom. For the density of states at the Fermi level, the calculation gives 1.664 states/eV per cell.



# 4
Entry from Alexandria via LeMat-Bulk: a relaxed structure of KSr2Sb2 (GGA-PBEsol).

Structure (POSCAR):
```
KSr2Sb2
1.0
3.851 0.000 0.000
0.000 9.565 0.000
0.000 0.000 9.565
Sb Sr K
4 4 2
direct
0.000 0.337 0.837 Sb
0.000 0.837 0.663 Sb
0.000 0.663 0.163 Sb
0.000 0.163 0.337 Sb
0.500 0.135 0.635 Sr
0.500 0.865 0.365 Sr
0.500 0.365 0.135 Sr
0.500 0.635 0.865 Sr
0.000 0.500 0.500 K
0.000 0.000 0.000 K
```

Values from the calculation:
The volume comes out at 352.29 Å³ per cell. The total DFT energy (no corrections) comes out at -3.601 eV per atom. As for the formation energy (no corrections): -0.81 eV per atom. For the density of states at the Fermi level, the calculation gives 2.217 states/eV per cell.



# 5
Entry from Alexandria via LeMat-Bulk: a relaxed structure of KSrSb2 (GGA-PBEsol).

Structure (POSCAR):
```
KSrSb2
1.0
4.306 0.000 0.029
0.000 4.408 0.000
-0.045 0.000 7.335
Sb K Sr
2 1 1
direct
0.000 0.000 0.807 Sb
0.000 0.000 0.193 Sb
0.500 0.500 0.500 K
0.500 0.500 0.000 Sr
```

Values from the calculation:
The volume comes out at 139.26 Å³ per cell. The total DFT energy (no corrections) comes out at -3.673 eV per atom. As for the energy relative to the lowest polymorph listed for this composition: 0.000 eV per atom. As for the formation energy (no corrections): -0.65 eV per atom. For the density of states at the Fermi level, the calculation gives 1.182 states/eV per cell.



# 6
Entry from Alexandria via LeMat-Bulk: a relaxed structure of KSrSb (GGA-PBEsol).

Structure (POSCAR):
```
KSrSb
1.0
-0.780 2.470 4.749
-8.309 -2.977 0.184
2.971 -8.003 4.650
Sr K Sb
4 4 4
direct
0.750 0.846 0.420 Sr
0.250 0.154 0.580 Sr
0.250 0.654 0.920 Sr
0.750 0.346 0.080 Sr
0.250 0.015 0.177 K
0.750 0.485 0.677 K
0.250 0.515 0.323 K
0.750 0.985 0.823 K
0.750 0.720 0.102 Sb
0.250 0.780 0.602 Sb
0.250 0.280 0.898 Sb
0.750 0.220 0.398 Sb
```

Values from the calculation:
The volume comes out at 464.27 Å³ per cell. The total DFT energy (no corrections) comes out at -3.298 eV per atom. As for the formation energy (no corrections): -0.79 eV per atom.



# 7
Entry from Alexandria via LeMat-Bulk: a relaxed structure of KSrSb2 (GGA-PBEsol).

Structure (POSCAR):
```
KSrSb2
1.0
-5.632 1.427 2.779
-5.936 -1.903 -3.589
-2.790 -4.986 4.369
Sb Sr K
4 2 2
direct
0.375 0.504 0.996 Sb
0.121 0.004 0.504 Sb
0.629 0.996 0.496 Sb
0.875 0.496 0.004 Sb
0.000 0.000 0.000 Sr
0.750 0.500 0.500 Sr
0.250 0.500 0.500 K
0.500 0.000 0.000 K
```

Values from the calculation:
The volume comes out at 266.41 Å³ per cell. The total DFT energy (no corrections) comes out at -3.337 eV per atom. As for the energy relative to the lowest polymorph listed for this composition: 0.336 eV per atom. As for the formation energy (no corrections): -0.32 eV per atom. For the density of states at the Fermi level, the calculation gives 8.498 states/eV per cell.



# 8
Entry from Alexandria via LeMat-Bulk: a relaxed structure of KSrSb (GGA-PBEsol).

Structure (POSCAR):
```
KSrSb
1.0
4.545 0.000 0.000
0.000 4.545 0.000
-2.273 -2.273 5.095
K Sr Sb
1 1 1
direct
0.990 0.990 0.981 K
0.688 0.688 0.377 Sr
0.321 0.321 0.642 Sb
```

Values from the calculation:
The volume comes out at 105.25 Å³ per cell. The total DFT energy (no corrections) comes out at -3.054 eV per atom. As for the formation energy (no corrections): -0.54 eV per atom. For the density of states at the Fermi level, the calculation gives 0.070 states/eV per cell.



# 9
Entry from Alexandria via LeMat-Bulk: a relaxed structure of KTaSb3 (GGA-PBEsol).

Structure (POSCAR):
```
KTaSb3
1.0
5.385 0.000 0.000
0.000 5.385 0.000
0.000 0.000 5.385
Sb K Ta
3 1 1
direct
0.000 0.000 0.500 Sb
0.000 0.500 0.000 Sb
0.500 0.000 0.000 Sb
0.000 0.000 0.000 K
0.500 0.500 0.500 Ta
```

Values from the calculation:
The volume comes out at 156.19 Å³ per cell. The total DFT energy (no corrections) comes out at -3.381 eV per atom. As for the formation energy (no corrections): 2.09 eV per atom. For the density of states at the Fermi level, the calculation gives 6.124 states/eV per cell.



# 10
Entry from Alexandria via LeMat-Bulk: a relaxed structure of KTcSb (GGA-PBEsol).

Structure (POSCAR):
```
KTcSb
1.0
-0.240 3.478 0.015
-3.472 -0.238 -0.214
1.476 -1.673 6.332
Tc K Sb
1 1 1
direct
0.288 0.288 0.575 Tc
0.997 0.997 0.995 K
0.715 0.715 0.430 Sb
```

Values from the calculation:
The volume comes out at 75.90 Å³ per cell. The total DFT energy (no corrections) comes out at -5.224 eV per atom. As for the formation energy (no corrections): 0.43 eV per atom. For the density of states at the Fermi level, the calculation gives 3.373 states/eV per cell.



# 11
Entry from Alexandria via LeMat-Bulk: a relaxed structure of KSbTe3 (GGA-PBEsol).

Structure (POSCAR):
```
KSbTe3
1.0
-0.951 4.992 2.672
-1.614 -2.836 4.724
5.428 0.031 1.873
Te Sb K
3 1 1
direct
0.000 0.000 0.500 Te
0.000 0.500 0.000 Te
0.500 0.000 0.000 Te
0.500 0.500 0.500 Sb
0.000 0.000 0.000 K
```

Values from the calculation:
The volume comes out at 189.29 Å³ per cell. The total DFT energy (no corrections) comes out at -2.205 eV per atom. As for the formation energy (no corrections): 1.05 eV per atom. For the density of states at the Fermi level, the calculation gives 8.047 states/eV per cell.



# 12
Entry from Alexandria via LeMat-Bulk: a relaxed structure of K8Sb2Te (GGA-PBEsol).

Structure (POSCAR):
```
K8Sb2Te
1.0
8.291 0.000 0.000
0.000 8.291 0.000
-4.146 -4.146 8.351
K Sb Te
8 2 1
direct
0.843 0.885 0.231 K
0.115 0.612 0.769 K
0.115 0.157 0.769 K
0.654 0.612 0.769 K
0.654 0.157 0.769 K
0.388 0.346 0.231 K
0.388 0.885 0.231 K
0.843 0.346 0.231 K
0.750 0.250 0.500 Sb
0.500 0.500 0.000 Sb
0.000 0.000 0.000 Te
```

Values from the calculation:
The volume comes out at 574.07 Å³ per cell. The total DFT energy (no corrections) comes out at -2.459 eV per atom. As for the formation energy (no corrections): -0.49 eV per atom. For the density of states at the Fermi level, the calculation gives 7.050 states/eV per cell.